Entry 1:
Entry from OQMD via LeMat-Bulk: a geometry-optimized ZnC structure (GGA-PBE).

Computed properties:
* symmetry: No. 187
* E above lowest polymorph: 0.00 kJ/mol of atoms
* uncorrected energy: -3.61 eV/atom
* theoretical density: 5833 kg/m³

Unit cell a=3.2507 b=3.2507 c=2.4084 alpha=90.00 beta=90.00 gamma=120.00
With the nearest neighbours (Å) after each atom.
Positions (direct):
C 0.6667 0.3333 0.7500  6 Zn 2.23, 2 C 2.41
Zn 0.3333 0.6667 0.2500  6 C 2.23, 2 Zn 2.41


Entry 2:
Entry from OQMD via LeMat-Bulk: a geometry-optimized ZnC structure (GGA-PBE).

Computed properties:
* symmetry: No. 216
* E above lowest polymorph: 5.28 kJ/mol of atoms
* uncorrected energy: -3.55 eV/atom
* theoretical density: 5033 kg/m³

Unit cell a=3.3057 b=3.3057 c=3.3057 alpha=60.00 beta=60.00 gamma=60.00
With the nearest neighbours (Å) after each atom.
Positions (direct):
C 0.0000 0.0000 0.0000  4 Zn 2.02
Zn 0.2500 0.2500 0.2500  4 C 2.02


- The lowest E above lowest polymorph belongs to which entry?
  number 1


- What is the theoretical density in the first record?
  5833 kg/m³


What did the second record say?
Entry from OQMD via LeMat-Bulk: a geometry-optimized ZnC structure (GGA-PBE).

Computed properties:
* symmetry: No. 216
* E above lowest polymorph: 5.28 kJ/mol of atoms
* uncorrected energy: -3.55 eV/atom
* theoretical density: 5033 kg/m³

Unit cell a=3.3057 b=3.3057 c=3.3057 alpha=60.00 beta=60.00 gamma=60.00
With the nearest neighbours (Å) after each atom.
Positions (direct):
C 0.0000 0.0000 0.0000  4 Zn 2.02
Zn 0.2500 0.2500 0.2500  4 C 2.02


- What is the formula in the second record?
  ZnC